Entry 1:
VASP calculation (SCAN) on a crystal of CrFe2Cl relaxed with PBEsol.

Unit cell a=2.7341 b=3.4650 c=6.6195 alpha=90.09 beta=90.00 gamma=113.24
Each line ends with the local moment (μB).
Fractional positions:
Cl 0.6650 0.3301 0.5310  0.01
Cr 0.2121 0.4243 0.8005  -1.95
Fe 0.9576 0.9151 0.9792  2.03
Fe 0.6653 0.3305 0.1892  3.04

Results
The calculation puts the distance to the lowest polymorph of the same formula at 0.213 eV/atom. As for the density of states at the Fermi level: 0.691 states/eV/atom. The raw formation energy comes out at 272 meV/atom. The total magnetization is 3.04 μB/cell. Its space group is Cm (8).

Entry 2:
VASP calculation (SCAN) on a crystal of CrFe2Cl relaxed with PBEsol.

Unit cell a=2.8353 b=2.9127 c=6.5539 alpha=90.13 beta=90.00 gamma=90.00
Each line ends with the local moment (μB).
Fractional positions:
Fe 0.5000 0.5037 0.2018  3.13
Fe 0.0000 0.0020 0.9872  2.45
Cl 0.0000 0.4934 0.5101  0.04
Cr 0.5000 0.5010 0.8008  -2.49

Results
The calculation puts the distance to the lowest polymorph of the same formula at 0.000 eV/atom. As for the density of states at the Fermi level: 0.325 states/eV/atom. The raw formation energy comes out at 60 meV/atom. The total magnetization is 2.98 μB/cell. Its space group is Pm (6).

Entry 3:
VASP calculation (SCAN) on a crystal of Cr2FeCl relaxed with PBEsol.

Unit cell a=2.7479 b=3.8334 c=4.7263 alpha=91.51 beta=106.90 gamma=90.00
Each line ends with the local moment (μB).
Fractional positions:
Cl 0.0000 0.0000 0.0000  0.00
Cr 0.2169 0.2891 0.4337  -0.51
Cr 0.7831 0.7109 0.5663  -0.51
Fe 0.5000 0.5000 0.0000  2.12

Results
The calculation puts the distance to the lowest polymorph of the same formula at 0.209 eV/atom. As for the density of states at the Fermi level: 0.600 states/eV/atom. The raw formation energy comes out at 718 meV/atom. The total magnetization is 0.98 μB/cell. Its space group is C2/m (12).

Entry 4:
VASP calculation (SCAN) on a crystal of CrFe2Cl relaxed with PBEsol.

Unit cell a=2.7157 b=4.0384 c=4.8433 alpha=114.64 beta=106.28 gamma=90.00
Each line ends with the local moment (μB).
Fractional positions:
Fe 0.7689 0.7689 0.5379  2.48
Fe 0.2311 0.2311 0.4621  2.48
Cl 0.5000 0.0000 0.0000  0.10
Cr 0.0000 0.5000 0.0000  -2.94

Results
The calculation puts the distance to the lowest polymorph of the same formula at 0.459 eV/atom. As for the density of states at the Fermi level: 0.816 states/eV/atom. The raw formation energy comes out at 518 meV/atom. The total magnetization is 1.88 μB/cell. Its space group is Immm (71).

Entry 5:
VASP calculation (SCAN) on a crystal of CrFeCl2 relaxed with PBEsol.

Unit cell a=3.7657 b=3.3011 c=6.3643 alpha=104.73 beta=107.21 gamma=90.00
Each line ends with the local moment (μB).
Fractional positions:
Cr 0.0000 0.5000 0.0000  2.53
Fe 0.5000 0.0000 0.0000  2.89
Cl 0.1386 0.1359 0.2771  0.05
Cl 0.8614 0.8641 0.7229  0.05

Results
The calculation puts the distance to the lowest polymorph of the same formula at 0.000 eV/atom. As for the density of states at the Fermi level: 0.381 states/eV/atom. The raw formation energy comes out at -356 meV/atom. The total magnetization is 5.63 μB/cell. Its space group is C2/m (12).

Entry 6:
VASP calculation (SCAN) on a crystal of CrFe2Cl relaxed with PBEsol.

Unit cell a=2.6969 b=4.0636 c=4.8201 alpha=114.93 beta=106.25 gamma=90.00
Each line ends with the local moment (μB).
Fractional positions:
Fe 0.9965 0.9965 0.9929  2.60
Fe 0.7734 0.2734 0.5469  2.35
Cl 0.5031 0.5031 0.0063  0.06
Cr 0.2270 0.7270 0.4539  -2.62

Results
The calculation puts the distance to the lowest polymorph of the same formula at 0.605 eV/atom. As for the density of states at the Fermi level: 0.959 states/eV/atom. The raw formation energy comes out at 665 meV/atom. The total magnetization is 2.09 μB/cell. Its space group is Imm2 (44).

Entry 7:
VASP calculation (SCAN) on a crystal of CrFeCl2 relaxed with PBEsol.

Unit cell a=3.0989 b=3.3023 c=7.5179 alpha=90.00 beta=90.00 gamma=117.98
Each line ends with the local moment (μB).
Fractional positions:
Fe 0.5000 0.0000 0.0000  2.97
Cl 0.0000 0.0000 0.7572  0.05
Cl 0.0000 0.0000 0.2428  0.05
Cr 0.5000 0.0000 0.5000  4.18

Results
The calculation puts the distance to the lowest polymorph of the same formula at 0.230 eV/atom. As for the density of states at the Fermi level: 0.273 states/eV/atom. The raw formation energy comes out at -126 meV/atom. The total magnetization is 7.87 μB/cell. Its space group is Cmmm (65).

Entry 8:
VASP calculation (SCAN) on a crystal of CrFe2Cl relaxed with PBEsol.

Unit cell a=2.7581 b=2.7581 c=7.5995 alpha=79.54 beta=79.54 gamma=60.00
Each line ends with the local moment (μB).
Fractional positions:
Cl 0.5000 0.5000 0.5000  0.17
Fe 0.2524 0.2524 0.2429  2.82
Fe 0.7476 0.7476 0.7571  2.82
Cr 0.0000 0.0000 0.0000  -0.28

Results
The calculation puts the distance to the lowest polymorph of the same formula at 0.363 eV/atom. As for the density of states at the Fermi level: 1.151 states/eV/atom. The raw formation energy comes out at 422 meV/atom. The total magnetization is 5.50 μB/cell. Its space group is R-3m (166).

Entry 9:
VASP calculation (SCAN) on a crystal of CrFeCl2 relaxed with PBEsol.

Unit cell a=3.2266 b=4.8760 c=4.8760 alpha=101.94 beta=106.43 gamma=106.43
Each line ends with the local moment (μB).
Fractional positions:
Cr 0.0000 0.0000 0.0000  4.08
Fe 0.0000 0.5000 0.5000  3.02
Cl 0.0000 0.0000 0.5000  0.04
Cl 0.0000 0.5000 0.0000  0.04

Results
The calculation puts the distance to the lowest polymorph of the same formula at 0.209 eV/atom. As for the density of states at the Fermi level: 0.314 states/eV/atom. The raw formation energy comes out at -147 meV/atom. The total magnetization is 7.71 μB/cell. Its space group is C2/m (12).

Entry 10:
VASP calculation (SCAN) on a crystal of CrFeI2Cl relaxed with PBEsol.

Unit cell a=4.9464 b=4.9464 c=5.2589 alpha=90.00 beta=90.00 gamma=90.00
Each line ends with the local moment (μB).
Fractional positions:
Fe 0.0000 0.0000 0.0000  2.62
I 0.0000 0.5000 0.0000  0.13
I 0.5000 0.0000 0.0000  0.13
Cr 0.0000 0.0000 0.5000  4.01
Cl 0.5000 0.5000 0.5000  0.01

Results
As for the density of states at the Fermi level: 0.725 states/eV/atom. The raw formation energy comes out at 404 meV/atom. The total magnetization is 7.44 μB/cell. Its space group is P4/mmm (123).

Entry 11:
VASP calculation (SCAN) on a crystal of CrFe2OsCl relaxed with PBEsol.

Unit cell a=4.6748 b=4.4569 c=4.4569 alpha=90.00 beta=90.00 gamma=90.00
Each line ends with the local moment (μB).
Fractional positions:
Os 0.0000 0.0000 0.0000  -0.20
Cl 0.5000 0.0000 0.0000  0.04
Fe 0.0000 0.5000 0.0000  2.28
Fe 0.0000 0.0000 0.5000  2.28
Cr 0.5000 0.5000 0.5000  4.17

Results
As for the density of states at the Fermi level: 1.033 states/eV/atom. The raw formation energy comes out at 1483 meV/atom. The total magnetization is 9.23 μB/cell. Its space group is P4/mmm (123).

Entry 12:
VASP calculation (SCAN) on a crystal of CrFePCl2 relaxed with PBEsol.

Unit cell a=4.2928 b=4.6272 c=4.6272 alpha=90.00 beta=90.00 gamma=90.00
Each line ends with the local moment (μB).
Fractional positions:
P 0.5000 0.0000 0.0000  -0.29
Cl 0.0000 0.5000 0.0000  -0.06
Cl 0.0000 0.0000 0.5000  -0.06
Cr 0.5000 0.5000 0.5000  4.25
Fe 0.0000 0.0000 0.0000  1.50

Results
As for the density of states at the Fermi level: 0.519 states/eV/atom. The raw formation energy comes out at 143 meV/atom. The total magnetization is 5.56 μB/cell. Its space group is P4/mmm (123).

Entry 13:
VASP calculation (SCAN) on a crystal of CrFeS2Cl relaxed with PBEsol.

Unit cell a=4.5251 b=4.5381 c=4.5381 alpha=90.00 beta=90.00 gamma=90.00
Each line ends with the local moment (μB).
Fractional positions:
Cr 0.0000 0.0000 0.0000  2.65
Cl 0.5000 0.0000 0.0000  0.05
S 0.0000 0.0000 0.5000  0.07
S 0.0000 0.5000 0.0000  0.07
Fe 0.5000 0.5000 0.5000  3.57

Results
As for the density of states at the Fermi level: 0.520 states/eV/atom. The raw formation energy comes out at -31 meV/atom. The total magnetization is 6.88 μB/cell. Its space group is P4/mmm (123).

Entry 14:
VASP calculation (SCAN) on a crystal of Y2CrFeCl relaxed with PBEsol.

Unit cell a=4.1370 b=5.2182 c=5.2182 alpha=90.00 beta=90.00 gamma=90.00
Each line ends with the local moment (μB).
Fractional positions:
Y 0.0000 0.5000 0.0000  -0.35
Y 0.0000 0.0000 0.5000  -0.35
Fe 0.5000 0.5000 0.5000  3.02
Cl 0.5000 0.0000 0.0000  0.00
Cr 0.0000 0.0000 0.0000  1.43

Results
As for the density of states at the Fermi level: 1.127 states/eV/atom. The raw formation energy comes out at 608 meV/atom. The total magnetization is 3.35 μB/cell. Its space group is P4/mmm (123).